PBE KRb2Cu4, relaxed; formation energy from the elements = 0.934 eV per atom; final energy = -12.9 eV/cell; SG = I4/mmm, No. 139; ρ = 2.66 g/cm³
1.0
-4.6869 0.9021 -3.0700
-2.5717 -4.3017 2.6621
-6.6424 3.9817 6.0658
Cu Rb K
4 2 1
direct
0.8295 0.8295 0.3409
0.1705 0.1705 0.6591
0.5000 0.0000 0.0000
0.0000 0.5000 0.0000
0.3600 0.3600 0.2799
0.6400 0.6400 0.7201
0.0000 0.0000 0.0000